# 1
Density functional theory data (PBE) for a geometry-optimized YLuPuCd structure.

Output
ΔE_f ... 0.078 eV/atom
Total magnetization ... 1.705 μB/atom

Cell lengths 7.5954, 7.5954, 7.5954 Å; angles 90.00, 90.00, 90.00 degrees
Closest atoms and distances in Å follow each position.
Space group F-43m (No. 216)
Unique sites:
Y 0.0000 0.0000 0.0000 (multiplicity 4)  4 Cd 3.29, 4 Pu 3.29
Lu 0.0000 0.0000 0.5000 (multiplicity 4)  4 Cd 3.29, 4 Pu 3.29
Pu 0.2500 0.2500 0.7500 (multiplicity 4)  4 Y 3.29, 4 Lu 3.29
Cd 0.2500 0.2500 0.2500 (multiplicity 4)  4 Y 3.29, 4 Lu 3.29


# 2
Density functional theory data (PBE) for a geometry-optimized Th2TiGe4Pt3 structure.

Output
ΔE_f ... -0.883 eV/atom
Total magnetization ... 0.044 μB/atom

Cell lengths 4.2916, 4.2916, 10.6245 Å; angles 90.00, 90.00, 90.00 degrees
Closest atoms and distances in Å follow each position.
Space group P-4m2 (No. 115)
Unique sites:
Th 0.0000 0.5000 0.2453 (multiplicity 2)  8 Ge 3.28-3.38, 6 Pt 3.29-3.45, 2 Ti 3.45
Ti 0.0000 0.0000 0.5000 (multiplicity 1)  4 Ge 2.60
Ge 0.0000 0.0000 0.0000 (multiplicity 1)  4 Pt 2.53
Ge 0.0000 0.5000 0.6386 (multiplicity 2)  3 Pt 2.49-2.60, 2 Ti 2.60
Ge 0.5000 0.5000 0.0000 (multiplicity 1)  4 Pt 2.53
Pt 0.0000 0.5000 0.8732 (multiplicity 2)  5 Ge 2.49-2.53
Pt 0.5000 0.5000 0.5000 (multiplicity 1)  4 Ge 2.60


# 3
Density functional theory data (PBE) for a geometry-optimized RbCdBi structure.

Output
ΔE_f ... -0.178 eV/atom
Total magnetization ... 0.000 μB/atom

Cell lengths 8.9693, 5.1851, 11.0678 Å; angles 90.00, 104.62, 90.00 degrees
Closest atoms and distances in Å follow each position.
Space group C2/m (No. 12)
Unique sites:
Rb 0.1248 0.0000 0.3604 (multiplicity 4)  3 Bi 3.54-3.56
Cd 0.1207 0.5000 0.8920 (multiplicity 4)  4 Bi 3.09-3.11
Bi 0.2368 0.5000 0.1817 (multiplicity 4)  4 Cd 3.09-3.11


# 4
Density functional theory data (PBE) for a geometry-optimized Ba2ZnHgH6 structure.

Output
Total magnetization ... 0.000 μB/atom

Cell lengths 8.1572, 8.1572, 6.2421 Å; angles 90.00, 130.61, 90.00 degrees
Closest atoms and distances in Å follow each position.
Space group Cm (No. 8)
Unique sites:
Ba 0.0000 0.2502 0.0000 (multiplicity 4)  5 H 2.66-2.97
Zn 0.4673 0.0000 0.4367 (multiplicity 2)  5 H 1.68-1.77
Hg 0.4597 0.5000 0.4204 (multiplicity 2)  1 H 2.02
H 0.1371 0.5000 0.3538 (multiplicity 2)  1 Zn 1.77
H 0.1442 0.5000 0.7915 (multiplicity 2)  1 Zn 1.68
H 0.1726 0.0000 0.8461 (multiplicity 2)  1 Hg 2.02
H 0.2149 0.0000 0.3540 (multiplicity 2)  1 Zn 1.77
H 0.4261 0.2112 0.3539 (multiplicity 4)  1 Zn 1.77


# 5
Density functional theory data (PBE) for a geometry-optimized LiInGaPt structure.

Output
ΔE_f ... -0.530 eV/atom
Total magnetization ... 0.000 μB/atom

Cell lengths 6.4167, 6.4167, 6.4167 Å; angles 90.00, 90.00, 90.00 degrees
Closest atoms and distances in Å follow each position.
Space group F-43m (No. 216)
Unique sites:
Li 0.0000 0.0000 0.0000 (multiplicity 4)  4 In 2.78, 4 Ga 2.78
In 0.2500 0.2500 0.2500 (multiplicity 4)  4 Li 2.78, 4 Pt 2.78
Ga 0.2500 0.2500 0.7500 (multiplicity 4)  4 Li 2.78, 4 Pt 2.78
Pt 0.0000 0.0000 0.5000 (multiplicity 4)  4 Ga 2.78, 4 In 2.78


# 6
Density functional theory data (PBE) for a geometry-optimized TlBi2Te4 structure.

Output
Formation energy (no corrections) ... -0.21 eV/atom
ΔE to the lowest computed polymorph ... 0.0000 eV/atom
Total magnetization ... 0.000 μB/atom

Cell lengths 4.4940, 4.4940, 41.8982 Å; angles 90.00, 90.00, 120.00 degrees
Closest atoms and distances in Å follow each position.
Space group R-3m (No. 166, hexagonal axes)
Unique sites:
Tl 0.0000 0.0000 0.0000 (multiplicity 3)  6 Te 3.28
Bi 0.0000 0.0000 0.4279 (multiplicity 6)  6 Te 3.12-3.25
Te 0.0000 0.0000 0.1360 (multiplicity 6)  3 Bi 3.12
Te 0.0000 0.0000 0.2855 (multiplicity 6)  3 Bi 3.25, 3 Tl 3.28


# 7
Density functional theory data (PBE) for a geometry-optimized Er4C2Se structure.

Output
Formation energy (no corrections) ... -0.80 eV/atom
Total magnetization ... 0.000 μB/atom

Cell lengths 3.6577, 3.6577, 38.1231 Å; angles 90.00, 90.00, 120.00 degrees
Closest atoms and distances in Å follow each position.
Space group R-3m (No. 166, hexagonal axes)
Unique sites:
Er 0.0000 0.0000 0.1196 (multiplicity 6)  3 C 2.45
Er 0.0000 0.0000 0.2827 (multiplicity 6)  3 C 2.53
C 0.0000 0.0000 0.4203 (multiplicity 6)  6 Er 2.45-2.53
Se 0.0000 0.0000 0.0000 (multiplicity 3)  6 Er 2.86


# 8
Density functional theory data (PBE) for a geometry-optimized InSi2Se structure.

Output
Formation energy (no corrections) ... 0.24 eV/atom
Total magnetization ... 0.000 μB/atom

Cell lengths 12.8768, 3.4293, 4.0552 Å; angles 90.00, 91.67, 90.00 degrees
Closest atoms and distances in Å follow each position.
Space group Cm (No. 8)
Unique sites:
In 0.0000 0.0000 0.0000 (multiplicity 2)  1 Se 2.76, 4 Si 2.81-2.82
Si 0.0722 0.5000 0.5045 (multiplicity 2)  2 Si 2.53, 4 In 2.81-2.82
Si 0.2155 0.0000 0.5685 (multiplicity 2)  2 Si 2.53, 2 Se 2.55
Se 0.2859 0.5000 0.9845 (multiplicity 2)  2 Si 2.55, 1 In 2.76


Energy across the listed records, respectively: -6.48; -6.82; -2.10; -2.74; -3.96; -3.45; -6.54; -4.03 eV per atom.